## Pm5Ge4Pd (PBE)

Data for a relaxed structure of Pm5Ge4Pd.

Computed properties:
D(E_F) in states/eV/f.u.: 7.77

a = 3.4669 Å, b = 3.4669 Å, c = 20.0463 Å
α = 90.00°, β = 90.00°, γ = 90.00°
With the nearest neighbours (Å) after each atom.
Element x y z (fractional)
Ge 0.0000 0.0000 0.8064  8 Pm 3.15-3.21, 4 Ge 3.47
Ge 0.0000 0.0000 0.1936  8 Pm 3.15-3.21, 4 Ge 3.47
Ge 0.0000 0.0000 0.3980  8 Pm 3.18-3.19, 4 Ge 3.47
Ge 0.0000 0.0000 0.6020  8 Pm 3.18-3.19, 4 Ge 3.47
Pm 0.5000 0.5000 0.0950  4 Pd 3.10, 4 Ge 3.15, 4 Pm 3.47
Pm 0.5000 0.5000 0.2969  8 Ge 3.18-3.21, 4 Pm 3.47
Pm 0.5000 0.5000 0.9050  4 Pd 3.10, 4 Ge 3.15, 4 Pm 3.47
Pm 0.5000 0.5000 0.5000  8 Ge 3.19, 4 Pm 3.47
Pm 0.5000 0.5000 0.7031  8 Ge 3.18-3.21, 4 Pm 3.47
Pd 0.0000 0.0000 0.0000  8 Pm 3.10, 4 Pd 3.47



## Pm3Ge2Pd (PBE)

Data for a relaxed structure of Pm3Ge2Pd.

Computed properties:
D(E_F) in states/eV/f.u.: 5.37
Energy relative to the lowest polymorph listed for this composition in meV/atom: 126.4

a = 7.5320 Å, b = 7.5320 Å, c = 7.5320 Å
α = 63.76°, β = 63.76°, γ = 63.76°
With the nearest neighbours (Å) after each atom.
Element x y z (fractional)
Ge 0.8540 0.8540 0.8540  1 Pd 2.61
Ge 0.3540 0.3540 0.3540  1 Pd 2.61
Ge 0.6460 0.6460 0.6460  1 Pd 2.61
Ge 0.1460 0.1460 0.1460  1 Pd 2.61
Pd 0.5000 0.5000 0.5000  2 Ge 2.61
Pd 0.0000 0.0000 0.0000  2 Ge 2.61
Pm 0.5545 0.9455 0.2500  4 Ge 2.99-3.06, 2 Pd 3.15
Pm 0.0545 0.7500 0.4455  4 Ge 2.99-3.06, 2 Pd 3.15
Pm 0.2500 0.5545 0.9455  4 Ge 2.99-3.06, 2 Pd 3.15
Pm 0.7500 0.4455 0.0545  4 Ge 2.99-3.06, 2 Pd 3.15
Pm 0.9455 0.2500 0.5545  4 Ge 2.99-3.06, 2 Pd 3.15
Pm 0.4455 0.0545 0.7500  4 Ge 2.99-3.06, 2 Pd 3.15



## PmGe2Pd2 (PBE)

Data for a relaxed structure of PmGe2Pd2.

Computed properties:
D(E_F) in states/eV/f.u.: 4.00
Energy relative to the lowest polymorph listed for this composition in meV/atom: 846.1

a = 3.8397 Å, b = 3.8397 Å, c = 9.6470 Å
α = 101.48°, β = 101.48°, γ = 90.00°
With the nearest neighbours (Å) after each atom.
Element x y z (fractional)
Pm 0.0000 0.0000 0.0000  2 Ge 2.99
Pd 0.2500 0.7500 0.5000  4 Ge 2.52, 4 Pd 2.72
Pd 0.7500 0.2500 0.5000  4 Ge 2.52, 4 Pd 2.72
Ge 0.1618 0.1618 0.3235  4 Pd 2.52
Ge 0.8382 0.8382 0.6765  4 Pd 2.52



## Pm2GePd2 (PBE)

Data for a relaxed structure of Pm2GePd2.

Computed properties:
D(E_F) in states/eV/f.u.: 2.42
Energy relative to the lowest polymorph listed for this composition in meV/atom: 0.0

a = 5.7041 Å, b = 5.7011 Å, c = 8.0321 Å
α = 103.94°, β = 90.00°, γ = 120.02°
With the nearest neighbours (Å) after each atom.
Element x y z (fractional)
Pm 0.7886 0.3062 0.6523  6 Pd 3.02-3.17, 3 Ge 3.16-3.31
Pm 0.5177 0.3062 0.1523  6 Pd 3.02-3.17, 3 Ge 3.16-3.31
Pm 0.4823 0.6938 0.8477  6 Pd 3.02-3.17, 3 Ge 3.16-3.31
Pm 0.2114 0.6938 0.3477  6 Pd 3.02-3.17, 3 Ge 3.16-3.31
Pd 0.0036 0.2554 0.9919  2 Ge 2.69-2.74, 2 Pd 2.78-2.93
Pd 0.7482 0.7446 0.5081  2 Ge 2.69-2.74, 2 Pd 2.78-2.93
Pd 0.2518 0.2554 0.4919  2 Ge 2.69-2.74, 2 Pd 2.78-2.93
Pd 0.9964 0.7446 0.0081  2 Ge 2.69-2.74, 2 Pd 2.78-2.93
Ge 0.8083 0.0000 0.2500  4 Pd 2.69-2.74
Ge 0.1917 0.0000 0.7500  4 Pd 2.69-2.74



## Pm3Ge4Pd4 (PBE)

Data for a relaxed structure of Pm3Ge4Pd4.

Computed properties:
D(E_F) in states/eV/f.u.: 6.86

a = 4.2686 Å, b = 7.1619 Å, c = 8.2526 Å
α = 115.72°, β = 104.99°, γ = 90.00°
With the nearest neighbours (Å) after each atom.
Element x y z (fractional)
Pm 0.0000 0.5000 0.0000  6 Ge 3.09
Pm 0.8730 0.8730 0.7460  6 Ge 3.08-3.11, 6 Pd 3.11-3.15
Pm 0.1270 0.1270 0.2540  6 Ge 3.08-3.11, 6 Pd 3.11-3.15
Pd 0.6765 0.8770 0.3530  4 Ge 2.63-2.64, 1 Pd 2.87
Pd 0.3235 0.5240 0.6470  4 Ge 2.63-2.64, 1 Pd 2.87
Pd 0.6765 0.4760 0.3530  4 Ge 2.63-2.64, 1 Pd 2.87
Pd 0.3235 0.1230 0.6470  4 Ge 2.63-2.64, 1 Pd 2.87
Ge 0.5000 0.8114 0.0000  2 Pd 2.64, 1 Ge 2.70
Ge 0.2169 0.7169 0.4337  6 Pd 2.63-2.64
Ge 0.7831 0.2831 0.5663  6 Pd 2.63-2.64
Ge 0.5000 0.1886 0.0000  2 Pd 2.64, 1 Ge 2.70



## PmGe3Pd4 (PBE)

Data for a relaxed structure of PmGe3Pd4.

Computed properties:
D(E_F) in states/eV/f.u.: 5.95

a = 4.2398 Å, b = 4.2398 Å, c = 8.1076 Å
α = 90.00°, β = 90.00°, γ = 90.00°
With the nearest neighbours (Å) after each atom.
Element x y z (fractional)
Ge 0.5000 0.5000 0.6531  1 Ge 2.48, 4 Pd 2.52
Ge 0.0000 0.0000 0.0000  8 Pd 2.57
Ge 0.5000 0.5000 0.3469  1 Ge 2.48, 4 Pd 2.52
Pd 0.5000 0.0000 0.1789  4 Ge 2.52-2.57
Pd 0.0000 0.5000 0.1789  4 Ge 2.52-2.57
Pd 0.0000 0.5000 0.8211  4 Ge 2.52-2.57
Pd 0.5000 0.0000 0.8211  4 Ge 2.52-2.57
Pm 0.0000 0.0000 0.5000  8 Ge 3.24, 8 Pd 3.36



## Pm12Ge7Pd (PBE)

Data for a relaxed structure of Pm12Ge7Pd.

Computed properties:
D(E_F) in states/eV/f.u.: 21.17

a = 9.0618 Å, b = 9.0618 Å, c = 9.0618 Å
α = 109.43°, β = 109.43°, γ = 109.43°
With the nearest neighbours (Å) after each atom.
Element x y z (fractional)
Pm 0.6851 0.6020 0.9065  4 Ge 3.00-3.15
Pm 0.0935 0.3149 0.3980  4 Ge 3.00-3.15
Pm 0.8645 0.3394 0.7207  3 Ge 2.95-2.99
Pm 0.6606 0.2793 0.1355  3 Ge 2.95-2.99
Pm 0.9065 0.6851 0.6020  4 Ge 3.00-3.15
Pm 0.7207 0.8645 0.3394  3 Ge 2.95-2.99
Pm 0.1355 0.6606 0.2793  3 Ge 2.95-2.99
Pm 0.3394 0.7207 0.8645  3 Ge 2.95-2.99
Pm 0.3149 0.3980 0.0935  4 Ge 3.00-3.15
Pm 0.6020 0.9065 0.6851  4 Ge 3.00-3.15
Pm 0.2793 0.1355 0.6606  3 Ge 2.95-2.99
Pm 0.3980 0.0935 0.3149  4 Ge 3.00-3.15
Ge 0.9729 0.0642 0.7313  1 Pd 2.64, 2 Ge 2.91, 1 Pm 2.95
Ge 0.5000 0.5000 0.5000  6 Pm 3.14
Ge 0.2687 0.0271 0.9358  1 Pd 2.64, 2 Ge 2.91, 1 Pm 2.95
Ge 0.0271 0.9358 0.2687  1 Pd 2.64, 2 Ge 2.91, 1 Pm 2.95
Ge 0.9358 0.2687 0.0271  1 Pd 2.64, 2 Ge 2.91, 1 Pm 2.95
Ge 0.0642 0.7313 0.9729  1 Pd 2.64, 2 Ge 2.91, 1 Pm 2.95
Ge 0.7313 0.9729 0.0642  1 Pd 2.64, 2 Ge 2.91, 1 Pm 2.95
Pd 0.0000 0.0000 0.0000  6 Ge 2.64



## Pm5GePd2 (PBE)

Data for a relaxed structure of Pm5GePd2.

Computed properties:
D(E_F) in states/eV/f.u.: 7.00

a = 7.9399 Å, b = 7.9399 Å, c = 8.7597 Å
α = 116.95°, β = 116.95°, γ = 90.00°
With the nearest neighbours (Å) after each atom.
Element x y z (fractional)
Ge 0.2500 0.2500 0.5000  10 Pm 3.29-3.36
Ge 0.7500 0.7500 0.5000  10 Pm 3.29-3.36
Pm 0.5000 0.5000 0.0000  4 Pd 3.11, 2 Ge 3.36
Pm 0.3069 0.8069 0.2914  3 Pd 3.04-3.05, 2 Ge 3.29
Pm 0.1931 0.0155 0.7086  3 Pd 3.04-3.05, 2 Ge 3.29
Pm 0.4845 0.3069 0.2914  3 Pd 3.04-3.05, 2 Ge 3.29
Pm 0.0155 0.5155 0.7086  3 Pd 3.04-3.05, 2 Ge 3.29
Pm 0.8069 0.9845 0.2914  3 Pd 3.04-3.05, 2 Ge 3.29
Pm 0.6931 0.1931 0.7086  3 Pd 3.04-3.05, 2 Ge 3.29
Pm 0.9845 0.4845 0.2914  3 Pd 3.04-3.05, 2 Ge 3.29
Pm 0.5155 0.6931 0.7086  3 Pd 3.04-3.05, 2 Ge 3.29
Pm 0.0000 0.0000 0.0000  4 Pd 3.11, 2 Ge 3.36
Pd 0.8687 0.6313 0.0000  1 Pd 2.95, 8 Pm 3.04-3.11
Pd 0.1313 0.3687 0.0000  1 Pd 2.95, 8 Pm 3.04-3.11
Pd 0.3687 0.8687 0.0000  1 Pd 2.95, 8 Pm 3.04-3.11
Pd 0.6313 0.1313 0.0000  1 Pd 2.95, 8 Pm 3.04-3.11



## Pm2Ge7Pd12 (PBE)

Data for a relaxed structure of Pm2Ge7Pd12.

Computed properties:
D(E_F) in states/eV/f.u.: 8.18

a = 3.9555 Å, b = 10.2165 Å, c = 10.2165 Å
α = 120.00°, β = 90.00°, γ = 90.00°
With the nearest neighbours (Å) after each atom.
Element x y z (fractional)
Pm 0.0000 0.6667 0.3333  6 Ge 3.17, 9 Pd 3.31-3.46
Pm 0.5000 0.0000 0.0000  6 Ge 3.16, 6 Pd 3.24
Pd 0.0000 0.0571 0.5463  4 Ge 2.45-2.54
Pd 0.0000 0.7751 0.7281  4 Ge 2.48-2.59
Pd 0.5000 0.5540 0.7605  5 Ge 2.57-2.78
Pd 0.0000 0.4892 0.9429  4 Ge 2.45-2.54
Pd 0.0000 0.2719 0.0470  4 Ge 2.48-2.59
Pd 0.5000 0.7148 0.1013  4 Ge 2.54-2.60
Pd 0.5000 0.8987 0.6135  4 Ge 2.54-2.60
Pd 0.0000 0.9530 0.2249  4 Ge 2.48-2.59
Pd 0.5000 0.2065 0.4460  5 Ge 2.57-2.78
Pd 0.0000 0.4537 0.5108  4 Ge 2.45-2.54
Pd 0.5000 0.3865 0.2852  4 Ge 2.54-2.60
Pd 0.5000 0.2395 0.7935  5 Ge 2.57-2.78
Ge 0.5000 0.6258 0.5528  7 Pd 2.54-2.60
Ge 0.0000 0.7386 0.9509  7 Pd 2.48-2.75
Ge 0.0000 0.2123 0.2614  7 Pd 2.48-2.75
Ge 0.5000 0.4472 0.0731  7 Pd 2.54-2.60
Ge 0.5000 0.9269 0.3742  7 Pd 2.54-2.60
Ge 0.0000 0.3333 0.6667  3 Pd 2.45
Ge 0.0000 0.0491 0.7877  7 Pd 2.48-2.75



## Pm4GePd3 (PBE)

Data for a relaxed structure of Pm4GePd3.

Computed properties:
D(E_F) in states/eV/f.u.: 5.13

a = 3.9787 Å, b = 4.4747 Å, c = 10.9912 Å
α = 90.00°, β = 90.00°, γ = 90.00°
With the nearest neighbours (Å) after each atom.
Element x y z (fractional)
Pm 0.0000 0.0000 0.1380  4 Ge 3.06, 3 Pd 3.06-3.13
Pm 0.5000 0.5000 0.3631  6 Pd 3.05-3.15, 1 Ge 3.09
Pm 0.0000 0.5000 0.8601  5 Pd 3.02-3.06, 2 Ge 3.15
Pm 0.5000 0.0000 0.6362  7 Pd 3.05-3.13
Pd 0.0000 0.5000 0.5852  2 Pd 2.90, 7 Pm 3.02-3.15
Pd 0.5000 0.0000 0.9185  2 Ge 2.87, 7 Pm 3.06-3.13
Pd 0.0000 0.0000 0.4169  2 Pd 2.90, 7 Pm 3.05-3.13
Ge 0.5000 0.5000 0.0821  2 Pd 2.87, 7 Pm 3.06-3.15



## PmGe2Pd2 (PBE)

Data for a relaxed structure of PmGe2Pd2.

Computed properties:
D(E_F) in states/eV/f.u.: 1.81
Energy relative to the lowest polymorph listed for this composition in meV/atom: 0.0

a = 4.3277 Å, b = 4.3277 Å, c = 5.9388 Å
α = 111.37°, β = 111.37°, γ = 90.00°
With the nearest neighbours (Å) after each atom.
Element x y z (fractional)
Pd 0.7500 0.7500 0.0000  4 Ge 2.53
Pd 0.2500 0.2500 0.0000  4 Ge 2.53
Ge 0.8783 0.3783 0.2565  1 Ge 2.48, 4 Pd 2.53
Ge 0.1217 0.6217 0.7435  1 Ge 2.48, 4 Pd 2.53
Pm 0.5000 0.0000 0.5000  8 Ge 3.30, 8 Pd 3.34



## PmGePd3 (PBE)

Data for a relaxed structure of PmGePd3.

Computed properties:
D(E_F) in states/eV/f.u.: 2.69
Energy relative to the lowest polymorph listed for this composition in meV/atom: 281.3

a = 4.7170 Å, b = 4.7170 Å, c = 4.7170 Å
α = 90.00°, β = 90.00°, γ = 90.00°
With the nearest neighbours (Å) after each atom.
Element x y z (fractional)
Pm 0.5000 0.5000 0.5000  12 Pd 3.34
Pd 0.0000 0.0000 0.5000  2 Ge 2.36
Pd 0.5000 0.0000 0.0000  2 Ge 2.36
Pd 0.0000 0.5000 0.0000  2 Ge 2.36
Ge 0.0000 0.0000 0.0000  6 Pd 2.36



Record-wise E_form values, in eV per atom: -0.661, -0.721, 0.014, -0.840, -0.885, -0.666, -0.499, -0.618, -0.691, -0.821, -0.832, -0.470
Record-wise electronic total energy values, in eV/atom: -5.402, -5.501, -4.861, -5.741, -5.748, -5.588, -5.225, -5.463, -5.650, -5.721, -5.707, -5.460
Record-wise magnetic moment values, in μB per cell: 0.00, 1.11, 0.40, 0.00, 0.00, 0.00, 0.00, 0.00, 0.00, 0.00, 0.00, 0.00